This record from Alexandria describes Na2HfMoO6 after structural relaxation. The functional is GGA+U.

Geometry as CIF:
```
data_Na2HfMoO6
_space_group_name_H-M_alt 'P 4 m m'
_space_group_IT_number 99
_cell_length_a 5.6325
_cell_length_b 5.6325
_cell_length_c 4.1089
_cell_angle_alpha 90.00
_cell_angle_beta 90.00
_cell_angle_gamma 90.00
loop_
_space_group_symop_operation_xyz
'x,y,z'
'-y,x,z'
'-x,-y,z'
'y,-x,z'
'-x,y,z'
'y,x,z'
'x,-y,z'
'-y,-x,z'
loop_
_atom_site_label
_atom_site_fract_x
_atom_site_fract_y
_atom_site_fract_z
_atom_site_occupancy
Na1 0.0000 0.5000 0.0000 1
Hf1 0.0000 0.0000 0.5597 1
Mo1 0.5000 0.5000 0.5116 1
O1 0.0000 0.0000 0.0678 1
O2 0.2622 0.2622 0.5783 1
O3 0.5000 0.5000 0.0740 1
```

Properties
Crystal system: tetragonal
E_tot, eV per cell: -72.1
D(E_F), states/eV per atom: 0.000
Magnetization, μB per atom: 0.00
ρ, g/cm³: 5.304